No. 1
CaPm2Bi after structural relaxation. Source: the Alexandria database, functional PBE-GGA.

The structure in CIF format:
```
data_CaPm2Bi
_symmetry_space_group_name_H-M 'R -3 m'
_symmetry_Int_Tables_number 166
_symmetry_space_group_name_Hall '-R 3 2"'
_cell_length_a 3.6228
_cell_length_b 3.6228
_cell_length_c 37.9340
_cell_angle_alpha 90.00
_cell_angle_beta 90.00
_cell_angle_gamma 120.00
loop_
_atom_site_label
_atom_site_fract_x
_atom_site_fract_y
_atom_site_fract_z
Ca1 0.0000 0.0000 0.0000
Pm1 0.0000 0.0000 0.4158
Bi1 0.0000 0.0000 0.5000
```

* excess energy over the best structure of this formula in the dataset: 2.074 eV per formula unit
* energy of formation: 0.046 eV per atom
* raw total energy: -15.200 eV per formula unit
* magnetization: 0.000 Bohr magnetons per cell
* volume: 431.2 Å³/cell

---

No. 2
PbSeNO2 after structural relaxation. Source: the Alexandria database, functional PBE-GGA.

The structure in CIF format:
```
data_PbSeNO2
_symmetry_space_group_name_H-M 'P 4/m m m'
_symmetry_Int_Tables_number 123
_symmetry_space_group_name_Hall '-P 4 2'
_cell_length_a 4.233
_cell_length_b 4.233
_cell_length_c 4.542
_cell_angle_alpha 90.00
_cell_angle_beta 90.00
_cell_angle_gamma 90.00
loop_
_atom_site_label
_atom_site_fract_x
_atom_site_fract_y
_atom_site_fract_z
Pb1 0.000 0.000 0.000
Se1 0.500 0.500 0.500
N1 0.000 0.000 0.500
O1 0.000 0.500 0.000
```

* raw total energy: -20.551 eV per formula unit
* magnetization: 0.000 Bohr magnetons per cell
* volume: 81.4 Å³/cell
* ΔE_f (raw): 0.977 eV/atom

---

No. 3
ZrScCu2 after structural relaxation. Source: the Alexandria database, functional PBE-GGA.

The structure in CIF format:
```
data_ZrScCu2
_symmetry_space_group_name_H-M 'C 1 m 1'
_symmetry_Int_Tables_number 8
_cell_length_a 10.392
_cell_length_b 3.029
_cell_length_c 4.678
_cell_angle_alpha 90.00
_cell_angle_beta 108.42
_cell_angle_gamma 90.00
loop_
_symmetry_equiv_pos_as_xyz
'x,y,z'
'x,-y,z'
'x+1/2,y+1/2,z'
'x+1/2,-y+1/2,z'
loop_
_atom_site_label
_atom_site_fract_x
_atom_site_fract_y
_atom_site_fract_z
Zr1 0.000 0.000 0.000
Sc1 0.281 0.500 0.348
Cu1 0.047 0.500 0.531
Cu2 0.242 0.000 0.822
```

* excess energy over the best structure of this formula in the dataset: 0.377 eV per formula unit
* energy of formation: -0.087 eV per atom
* raw total energy: -23.420 eV per formula unit
* magnetization: 0.000 Bohr magnetons per cell
* volume: 139.7 Å³/cell

---

No. 4
KLaMg14 after structural relaxation. Source: the Alexandria database, functional PBE-GGA.

The structure in CIF format:
```
data_KLaMg14
_symmetry_space_group_name_H-M 'P -6 m 2'
_symmetry_Int_Tables_number 187
_symmetry_space_group_name_Hall 'P -6 2'
_cell_length_a 6.7653
_cell_length_b 6.7653
_cell_length_c 10.5384
_cell_angle_alpha 90.00
_cell_angle_beta 90.00
_cell_angle_gamma 120.00
loop_
_atom_site_label
_atom_site_fract_x
_atom_site_fract_y
_atom_site_fract_z
K1 0.0000 0.0000 0.0000
La1 0.0000 0.0000 0.5000
Mg1 0.0059 0.5030 0.0000
Mg2 0.0103 0.5051 0.5000
Mg3 0.1747 0.3494 0.2538
Mg4 0.6667 0.3333 0.2556
```

* excess energy over the best structure of this formula in the dataset: 0.000 eV per formula unit
* energy of formation: 0.077 eV per atom
* raw total energy: -27.115 eV per formula unit
* magnetization: 0.000 Bohr magnetons per cell
* volume: 417.7 Å³/cell

---

No. 5
Li2SmBiS4 after structural relaxation. Source: the Alexandria database, functional PBE-GGA.

The structure in CIF format:
```
data_Li2SmBiS4
_symmetry_space_group_name_H-M 'I m m a'
_symmetry_Int_Tables_number 74
_symmetry_space_group_name_Hall '-I 2b 2'
_cell_length_a 7.859
_cell_length_b 7.944
_cell_length_c 11.205
_cell_angle_alpha 90.00
_cell_angle_beta 90.00
_cell_angle_gamma 90.00
loop_
_atom_site_label
_atom_site_fract_x
_atom_site_fract_y
_atom_site_fract_z
Li1 0.000 0.000 0.000
Li2 0.250 0.250 0.250
Sm1 0.000 0.000 0.500
Bi1 0.250 0.250 0.750
S1 0.000 0.007 0.249
S2 0.248 0.250 0.002
```

* raw total energy: -39.086 eV per formula unit
* magnetization: 0.000 Bohr magnetons per cell
* volume: 699.5 Å³/cell
* ΔE_f (raw): -1.269 eV/atom

---

No. 6
FeAsW3 after structural relaxation. Source: the Alexandria database, functional PBE-GGA.

The structure in CIF format:
```
data_FeAsW3
_symmetry_space_group_name_H-M 'P m -3 m'
_symmetry_Int_Tables_number 221
_symmetry_space_group_name_Hall '-P 4 2 3'
_cell_length_a 4.545
_cell_length_b 4.545
_cell_length_c 4.545
_cell_angle_alpha 90.00
_cell_angle_beta 90.00
_cell_angle_gamma 90.00
loop_
_atom_site_label
_atom_site_fract_x
_atom_site_fract_y
_atom_site_fract_z
Fe1 0.000 0.000 0.000
As1 0.500 0.500 0.500
W1 0.000 0.500 0.500
```

* excess energy over the best structure of this formula in the dataset: 2.712 eV per formula unit
* energy of formation: 1.982 eV per atom
* raw total energy: -42.062 eV per formula unit
* magnetization: 0.014 Bohr magnetons per cell
* volume: 93.9 Å³/cell

---

No. 7
Ca3CoC2N6 after structural relaxation. Source: the Alexandria database, functional PBE-GGA.

The structure in CIF format:
```
data_Ca3CoC2N6
_symmetry_space_group_name_H-M 'P -3 m 1'
_symmetry_Int_Tables_number 164
_symmetry_space_group_name_Hall '-P 3 2"'
_cell_length_a 5.1827
_cell_length_b 5.1827
_cell_length_c 6.0742
_cell_angle_alpha 90.00
_cell_angle_beta 90.00
_cell_angle_gamma 120.00
loop_
_atom_site_label
_atom_site_fract_x
_atom_site_fract_y
_atom_site_fract_z
Ca1 0.0000 0.0000 0.0000
Ca2 0.3333 0.6667 0.6986
Co1 0.0000 0.0000 0.5000
C1 0.3333 0.6667 0.2905
N1 0.1814 0.3628 0.2851
```

* raw total energy: -85.368 eV per formula unit
* magnetization: 1.814 Bohr magnetons per cell
* volume: 141.3 Å³/cell
* ΔE_f (raw): -0.321 eV/atom

---

No. 8
MoPb2 after structural relaxation. Source: the Alexandria database, functional PBE-GGA.

The structure in CIF format:
```
data_MoPb2
_symmetry_space_group_name_H-M 'C m c m'
_symmetry_Int_Tables_number 63
_symmetry_space_group_name_Hall '-C 2c 2'
_cell_length_a 3.445
_cell_length_b 20.072
_cell_length_c 4.603
_cell_angle_alpha 90.00
_cell_angle_beta 90.00
_cell_angle_gamma 90.00
loop_
_atom_site_label
_atom_site_fract_x
_atom_site_fract_y
_atom_site_fract_z
Mo1 0.000 0.035 0.250
Pb1 0.000 0.315 0.750
Pb2 0.000 0.418 0.250
```

* excess energy over the best structure of this formula in the dataset: 0.304 eV per formula unit
* energy of formation: 0.499 eV per atom
* raw total energy: -16.752 eV per formula unit
* magnetization: 0.000 Bohr magnetons per cell
* volume: 318.3 Å³/cell